Entry from Alexandria via LeMat-Bulk: a crystal of KCoMo relaxed with PBEsol (meta-GGA SCAN).

Unit cell a=6.135 b=6.135 c=6.135 alpha=90.00 beta=90.00 gamma=90.00
Space group F-43m (No. 216)
Unique sites:
1 K 0.000 0.000 0.000
2 Co 0.250 0.250 0.250
3 Mo 0.000 0.000 0.500

- total DFT energy (no corrections) (eV per cell) = -217.47
- mass density (Mg/m³) = 5.6

Entry from Alexandria via LeMat-Bulk: a crystal of KCoMo2 relaxed with PBEsol (meta-GGA SCAN).

Unit cell a=2.671 b=3.552 c=8.234 alpha=90.00 beta=90.00 gamma=90.00
Space group Pmm2 (No. 25)
Unique sites:
1 K 0.000 0.000 0.000
2 Co 0.500 0.500 0.684
3 Mo 0.000 0.000 0.563
4 Mo 0.500 0.500 0.366

- relative energy among the computed polymorphs (eV/atom) = 0.000
- total DFT energy (no corrections) (eV per cell) = -91.69
- mass density (Mg/m³) = 6.2

Entry from Alexandria via LeMat-Bulk: a crystal of KCo2Mo relaxed with PBEsol (meta-GGA SCAN).

Unit cell a=8.089 b=2.731 c=6.997 alpha=90.00 beta=96.73 gamma=90.00
Space group C2/m (No. 12)
Unique sites:
1 K 0.000 0.000 0.000
2 Co 0.229 0.000 0.629
3 Mo 0.000 0.500 0.500

- total DFT energy (no corrections) (eV per cell) = -148.13
- mass density (Mg/m³) = 5.5

Entry from Alexandria via LeMat-Bulk: a crystal of K4CoMo3O12 relaxed with PBEsol (meta-GGA SCAN).

Unit cell a=7.846 b=9.745 c=9.966 alpha=94.53 beta=106.95 gamma=105.57
Space group P-1 (No. 2)
Unique sites:
1 K 0.000 0.000 0.000
2 K 0.140 0.883 0.567
3 K 0.250 0.475 0.532
4 K 0.294 0.776 0.241
5 K 0.500 0.000 0.000
6 Co 0.331 0.443 0.132
7 Mo 0.111 0.606 0.851
8 Mo 0.269 0.270 0.824
9 Mo 0.377 0.187 0.361
10 O 0.057 0.271 0.702
11 O 0.098 0.625 0.675
12 O 0.116 0.495 0.149
13 O 0.178 0.780 0.952
14 O 0.207 0.132 0.443
15 O 0.261 0.268 0.004
16 O 0.281 0.519 0.924
17 O 0.290 0.098 0.787
18 O 0.336 0.054 0.215
19 O 0.374 0.359 0.310
20 O 0.400 0.785 0.515
21 O 0.465 0.386 0.784

- formation energy from raw total energies (meV per atom) = -2171
- total DFT energy (no corrections) (eV per cell) = -546.92
- mass density (Mg/m³) = 3.3

Entry from Alexandria via LeMat-Bulk: a crystal of KCo2Mo2O10 relaxed with PBEsol (meta-GGA SCAN).

Unit cell a=9.474 b=5.636 c=8.571 alpha=90.00 beta=112.10 gamma=90.00
Space group C2/m (No. 12)
Unique sites:
1 K 0.000 0.000 0.000
2 Co 0.250 0.250 0.500
3 Mo 0.049 0.500 0.726
4 O 0.069 0.248 0.297
5 O 0.157 0.500 0.582
6 O 0.177 0.500 0.929
7 O 0.180 0.000 0.577

- formation energy from raw total energies (meV per atom) = -1735
- total DFT energy (no corrections) (eV per cell) = -402.08
- mass density (Mg/m³) = 4.0

Entry from Alexandria via LeMat-Bulk: a crystal of KCoS2N relaxed with PBEsol (meta-GGA SCAN).

Unit cell a=5.362 b=5.362 c=4.623 alpha=90.00 beta=90.00 gamma=90.00
Space group P4/mmm (No. 123)
Unique sites:
1 K 0.000 0.000 0.000
2 Co 0.500 0.500 0.500
3 S 0.000 0.500 0.000
4 N 0.000 0.000 0.500

- relative energy among the computed polymorphs (eV/atom) = 1.781
- formation energy from raw total energies (meV per atom) = 1923
- total DFT energy (no corrections) (eV per cell) = -44.57
- mass density (Mg/m³) = 2.2

Entry from Alexandria via LeMat-Bulk: a crystal of KCoS2N relaxed with PBEsol (meta-GGA SCAN).

Unit cell a=4.948 b=4.948 c=3.358 alpha=90.00 beta=90.00 gamma=90.00
Space group P4/mmm (No. 123)
Unique sites:
1 K 0.000 0.000 0.000
2 Co 0.500 0.500 0.500
3 S 0.000 0.500 0.500
4 N 0.500 0.500 0.000

- relative energy among the computed polymorphs (eV/atom) = 0.000
- formation energy from raw total energies (meV per atom) = 141
- total DFT energy (no corrections) (eV per cell) = -53.47
- mass density (Mg/m³) = 3.6

Entry from Alexandria via LeMat-Bulk: a crystal of KNa2Co relaxed with PBEsol (meta-GGA SCAN).

Unit cell a=7.736 b=7.736 c=7.736 alpha=90.00 beta=90.00 gamma=90.00
Space group Fm-3m (No. 225)
Unique sites:
1 K 0.000 0.000 0.000
2 Na 0.250 0.250 0.250
3 Co 0.000 0.000 0.500

- total DFT energy (no corrections) (eV per cell) = -127.72
- mass density (Mg/m³) = 2.1

Entry from Alexandria via LeMat-Bulk: a crystal of KNbZn2Co relaxed with PBEsol (meta-GGA SCAN).

Unit cell a=4.957 b=4.957 c=5.237 alpha=90.00 beta=90.00 gamma=90.00
Space group P4/mmm (No. 123)
Unique sites:
1 K 0.000 0.000 0.000
2 Nb 0.000 0.000 0.500
3 Zn 0.000 0.500 0.500
4 Co 0.500 0.500 0.000

- total DFT energy (no corrections) (eV per cell) = -76.97
- mass density (Mg/m³) = 4.2

Entry from Alexandria via LeMat-Bulk: a crystal of KCoNi relaxed with PBEsol (meta-GGA SCAN).

Unit cell a=2.592 b=3.768 c=11.270 alpha=90.00 beta=90.00 gamma=90.00
Space group Imm2 (No. 44)
Unique sites:
1 K 0.000 0.000 0.000
2 Co 0.000 0.000 0.270
3 Ni 0.000 0.000 0.728

- total DFT energy (no corrections) (eV per cell) = -80.05
- mass density (Mg/m³) = 4.7

Entry from Alexandria via LeMat-Bulk: a crystal of KCoNi2Pt relaxed with PBEsol (meta-GGA SCAN).

Unit cell a=4.399 b=4.399 c=4.625 alpha=90.00 beta=90.00 gamma=90.00
Space group P4/mmm (No. 123)
Unique sites:
1 K 0.000 0.000 0.000
2 Co 0.500 0.500 0.500
3 Ni 0.000 0.500 0.500
4 Pt 0.500 0.500 0.000

- total DFT energy (no corrections) (eV per cell) = -124.51
- mass density (Mg/m³) = 7.6

Entry from Alexandria via LeMat-Bulk: a crystal of K2CoO3 relaxed with PBEsol (meta-GGA SCAN).

Unit cell a=5.595 b=11.164 c=12.504 alpha=90.00 beta=90.00 gamma=90.00
Space group Cmce (No. 64)
Unique sites:
1 K 0.000 0.060 0.141
2 K 0.000 0.137 0.574
3 Co 0.000 0.244 0.332
4 O 0.000 0.092 0.362
5 O 0.000 0.165 0.942
6 O 0.250 0.227 0.750

- formation energy from raw total energies (meV per atom) = -1413
- total DFT energy (no corrections) (eV per cell) = -489.06
- mass density (Mg/m³) = 3.1

Entry from Alexandria via LeMat-Bulk: a crystal of KCoO2 relaxed with PBEsol (meta-GGA SCAN).

Unit cell a=8.070 b=6.926 c=8.101 alpha=90.00 beta=90.06 gamma=90.00
Space group C2 (No. 5)
Unique sites:
1 K 0.000 0.000 0.000
2 K 0.000 0.478 0.500
3 K 0.242 0.737 0.245
4 Co 0.000 0.482 0.000
5 Co 0.000 0.990 0.500
6 Co 0.249 0.736 0.746
7 O 0.059 0.117 0.315
8 O 0.075 0.583 0.808
9 O 0.183 0.859 0.561
10 O 0.195 0.382 0.073

- formation energy from raw total energies (meV per atom) = -1434
- total DFT energy (no corrections) (eV per cell) = -350.65
- mass density (Mg/m³) = 3.8